SrTe2AsPt after structural relaxation, computed with GGA-PBE.

Output
uncorrected formation energy = 0.348 eV/atom
space group = P4/mmm, No. 123
uncorrected energy = -3.3828 eV per atom
magnetic moment = 0.000 μB per formula unit
crystal system = tetragonal

Lattice parameters (Å, degrees): 5.3401 5.7388 5.3401 90.00 90.00 90.00
Positions (direct):
Te: 0.0000 0.0000 0.5000
Te: 0.5000 0.0000 0.0000
Pt: 0.5000 0.5000 0.5000
Sr: 0.0000 0.5000 0.0000
As: 0.0000 0.0000 0.0000

Sr2TiAs3Pt4 after structural relaxation, computed with GGA-PBE.

Output
space group = P-4m2, No. 115
energy of formation from the pure elements = -789 meV/atom
uncorrected energy = -5.7258 eV per atom
magnetic moment = 0.000 μB per formula unit
crystal system = tetragonal

Lattice parameters (Å, degrees): 4.3377 4.3377 10.7434 90.00 90.00 90.00
Positions (direct):
Sr: 0.5000 0.0000 0.2388
Sr: 0.0000 0.5000 0.7612
As: 0.5000 0.0000 0.8667
As: 0.0000 0.0000 0.5000
As: 0.0000 0.5000 0.1333
Pt: 0.5000 0.0000 0.6321
Pt: 0.0000 0.0000 0.0000
Pt: 0.5000 0.5000 0.0000
Pt: 0.0000 0.5000 0.3679
Ti: 0.5000 0.5000 0.5000

Sr2TmAs3Pt12 after structural relaxation, computed with GGA-PBE.

Output
space group = R-3m, No. 166
energy of formation from the pure elements = -234 meV/atom
uncorrected energy = -5.4715 eV per atom
magnetic moment = 0.000 μB per formula unit
crystal system = trigonal

Lattice parameters (Å, degrees): 7.8969 7.8969 7.8969 65.35 65.35 65.35
Positions (direct):
Pt: 0.8626 0.3858 0.8626
Pt: 0.6142 0.1374 0.1374
Pt: 0.3858 0.8626 0.8626
Pt: 0.1374 0.6142 0.1374
Pt: 0.1374 0.1374 0.6142
Pt: 0.8962 0.3491 0.3491
Pt: 0.6509 0.1038 0.6509
Pt: 0.8626 0.8626 0.3858
Pt: 0.1038 0.6509 0.6509
Pt: 0.6509 0.6509 0.1038
Pt: 0.3491 0.8962 0.3491
Pt: 0.3491 0.3491 0.8962
Tm: 0.0000 0.0000 0.0000
As: 0.0000 0.5000 0.0000
As: 0.5000 0.0000 0.0000
As: 0.0000 0.0000 0.5000
Sr: 0.3970 0.3970 0.3970
Sr: 0.6030 0.6030 0.6030

Sr2TmAs3Pt4 after structural relaxation, computed with GGA-PBE.

Output
space group = P-4m2, No. 115
energy of formation from the pure elements = -878 meV/atom
uncorrected energy = -5.4724 eV per atom
magnetic moment = 0.000 μB per formula unit
crystal system = tetragonal

Lattice parameters (Å, degrees): 4.3899 4.3899 11.1657 90.00 90.00 90.00
Positions (direct):
Sr: 0.5000 0.0000 0.2270
Sr: 0.0000 0.5000 0.7730
Pt: 0.5000 0.0000 0.6525
Pt: 0.0000 0.5000 0.3475
Pt: 0.5000 0.5000 0.0000
Pt: 0.0000 0.0000 0.0000
As: 0.5000 0.0000 0.8772
As: 0.0000 0.0000 0.5000
As: 0.0000 0.5000 0.1228
Tm: 0.5000 0.5000 0.5000

Sr2UAs4Pt3 after structural relaxation, computed with GGA-PBE.

Output
space group = P-4m2, No. 115
energy of formation from the pure elements = -739 meV/atom
uncorrected energy = -5.8766 eV per atom
magnetic moment = 2.410 μB per formula unit
crystal system = tetragonal

Lattice parameters (Å, degrees): 4.4923 4.4923 11.0757 90.00 90.00 90.00
Site moments in Bohr magnetons follow the coordinates.
Positions (direct):
Sr: 0.0000 0.5000 0.7766  0.01
Sr: 0.5000 0.0000 0.2234  0.01
U: 0.5000 0.5000 0.5000  2.24
As: 0.5000 0.0000 0.6585  -0.02
As: 0.5000 0.5000 0.0000  0.01
As: 0.0000 0.0000 0.0000  0.01
As: 0.0000 0.5000 0.3415  -0.02
Pt: 0.0000 0.5000 0.1080  0.01
Pt: 0.0000 0.0000 0.5000  -0.07
Pt: 0.5000 0.0000 0.8920  0.01

Sr2YAs3Pt12 after structural relaxation, computed with GGA-PBE.

Output
space group = R-3m, No. 166
energy of formation from the pure elements = -218 meV/atom
uncorrected energy = -5.5661 eV per atom
magnetic moment = 0.000 μB per formula unit
crystal system = trigonal

Lattice parameters (Å, degrees): 7.8997 7.8997 7.8997 65.43 65.43 65.43
Positions (direct):
Sr: 0.3988 0.3988 0.3988
Sr: 0.6012 0.6012 0.6012
Pt: 0.3903 0.8600 0.8600
Pt: 0.8983 0.3487 0.3487
Pt: 0.6513 0.6513 0.1017
Pt: 0.1400 0.6097 0.1400
Pt: 0.6513 0.1017 0.6513
Pt: 0.3487 0.3487 0.8983
Pt: 0.8600 0.3903 0.8600
Pt: 0.6097 0.1400 0.1400
Pt: 0.8600 0.8600 0.3903
Pt: 0.1017 0.6513 0.6513
Pt: 0.1400 0.1400 0.6097
Pt: 0.3487 0.8983 0.3487
Y: 0.0000 0.0000 0.0000
As: 0.0000 0.5000 0.0000
As: 0.0000 0.0000 0.5000
As: 0.5000 0.0000 0.0000

Sr2ZnAs4Pt3 after structural relaxation, computed with GGA-PBE.

Output
space group = P-4m2, No. 115
energy of formation from the pure elements = -751 meV/atom
uncorrected energy = -4.8867 eV per atom
magnetic moment = 0.000 μB per formula unit
crystal system = tetragonal

Lattice parameters (Å, degrees): 4.4875 4.4875 10.2571 90.00 90.00 90.00
Positions (direct):
Pt: 0.0000 0.5000 0.1184
Pt: 0.0000 0.0000 0.5000
Pt: 0.5000 0.0000 0.8816
As: 0.5000 0.5000 0.0000
As: 0.0000 0.0000 0.0000
As: 0.0000 0.5000 0.3638
As: 0.5000 0.0000 0.6362
Sr: 0.5000 0.0000 0.2453
Sr: 0.0000 0.5000 0.7547
Zn: 0.5000 0.5000 0.5000

SrZnAs2Pt after structural relaxation, computed with GGA-PBE.

Output
space group = P4/mmm, No. 123
energy of formation from the pure elements = 1260 meV/atom
uncorrected energy = -2.3993 eV per atom
magnetic moment = 0.000 μB per formula unit
crystal system = tetragonal

Lattice parameters (Å, degrees): 5.6376 5.4182 5.6376 90.00 90.00 90.00
Positions (direct):
Pt: 0.0000 0.5000 0.0000
As: 0.5000 0.0000 0.0000
As: 0.0000 0.0000 0.5000
Zn: 0.5000 0.5000 0.5000
Sr: 0.0000 0.0000 0.0000

Sr2ZnAs3Pt4 after structural relaxation, computed with GGA-PBE.

Output
space group = P-4m2, No. 115
energy of formation from the pure elements = -774 meV/atom
uncorrected energy = -5.0494 eV per atom
magnetic moment = 0.000 μB per formula unit
crystal system = tetragonal

Lattice parameters (Å, degrees): 4.4883 4.4883 10.0830 90.00 90.00 90.00
Positions (direct):
As: 0.0000 0.5000 0.1276
As: 0.5000 0.0000 0.8724
As: 0.0000 0.0000 0.5000
Sr: 0.0000 0.5000 0.7491
Sr: 0.5000 0.0000 0.2509
Zn: 0.5000 0.5000 0.5000
Pt: 0.5000 0.0000 0.6227
Pt: 0.0000 0.5000 0.3773
Pt: 0.0000 0.0000 0.0000
Pt: 0.5000 0.5000 0.0000

TaAsPt after structural relaxation, computed with GGA-PBE.

Output
space group = Imm2, No. 44
energy of formation from the pure elements = -290 meV/atom
uncorrected energy = -7.8039 eV per atom
magnetic moment = 0.000 μB per formula unit
crystal system = orthorhombic

Lattice parameters (Å, degrees): 5.7574 5.7574 5.7574 151.27 146.00 45.10
Positions (direct):
As: 0.0083 0.0083 0.0000
Pt: 0.3257 0.3257 0.0000
Ta: 0.6661 0.6661 0.0000

TaAsPt3 after structural relaxation, computed with GGA-PBE.

Output
space group = Pm-3m, No. 221
energy of formation from the pure elements = 704 meV/atom
excess energy over the best structure of this formula in the dataset = 0 meV/atom
uncorrected energy = -6.2212 eV per atom
magnetic moment = 1.592 μB per formula unit
crystal system = cubic

Lattice parameters (Å, degrees): 4.6212 4.6212 4.6212 90.00 90.00 90.00
Site moments in Bohr magnetons follow the coordinates.
Positions (direct):
Pt: 0.0000 0.5000 0.0000  0.01
Pt: 0.0000 0.0000 0.5000  0.05
Pt: 0.5000 0.0000 0.0000  -0.03
Ta: 0.5000 0.5000 0.5000  1.08
As: 0.0000 0.0000 0.0000  0.00

TaAsPt3 after structural relaxation, computed with GGA-PBE.

Output
space group = Pm-3m, No. 221
energy of formation from the pure elements = 1024 meV/atom
excess energy over the best structure of this formula in the dataset = 320 meV/atom
uncorrected energy = -5.9013 eV per atom
magnetic moment = 0.000 μB per formula unit
crystal system = cubic

Lattice parameters (Å, degrees): 4.8766 4.8766 4.8766 90.00 90.00 90.00
Positions (direct):
Pt: 0.5000 0.0000 0.0000
Pt: 0.0000 0.0000 0.5000
Pt: 0.0000 0.5000 0.0000
As: 0.5000 0.5000 0.5000
Ta: 0.0000 0.0000 0.0000